Record 1
# NaSr2SBr, optimized geometry, DFT PBE
# Fermi-level density of states: 0.09 states/eV/atom
# DFT total energy: -0.220 Ry per atom
# energy relative to the elements, uncorrected: -0.900 eV per atom
data_NaSr2SBr
_chemical_formula_sum 'Na1 Sr2 S1 Br1'
_cell_length_a 5.590
_cell_length_b 5.590
_cell_length_c 7.506
_cell_angle_alpha 90.00
_cell_angle_beta 90.00
_cell_angle_gamma 90.00
_symmetry_space_group_name_H-M 'P 4/m m m'
_symmetry_Int_Tables_number 123
_symmetry_space_group_name_Hall '-P 4 2'
loop_
_atom_site_label
_atom_site_type_symbol
_atom_site_fract_x
_atom_site_fract_y
_atom_site_fract_z
Na1 Na 0.000 0.000 0.000
Sr1 Sr 0.000 0.500 0.500
S1 S 0.500 0.500 0.500
Br1 Br 0.500 0.500 0.000

Record 2
# TbY3In2, optimized geometry, DFT PBE
# energy of formation from the pure elements: -0.311 eV per atom
# Fermi-level density of states: 1.04 states/eV/atom
# DFT total energy: -0.384 Ry per atom
# E above lowest polymorph: 0.45 eV per formula unit
data_TbY3In2
_chemical_formula_sum 'Tb1 Y3 In2'
_cell_length_a 4.904
_cell_length_b 4.512
_cell_length_c 8.081
_cell_angle_alpha 90.00
_cell_angle_beta 107.59
_cell_angle_gamma 90.00
_symmetry_space_group_name_H-M 'P 1 2/m 1'
_symmetry_Int_Tables_number 10
_symmetry_space_group_name_Hall '-P 2y'
loop_
_atom_site_label
_atom_site_type_symbol
_atom_site_fract_x
_atom_site_fract_y
_atom_site_fract_z
Tb1 Tb 0.000 0.000 0.000
Y1 Y 0.173 0.500 0.345
Y2 Y 0.500 0.500 0.000
In1 In 0.345 0.000 0.690

Record 3
# CaDy2Pd, optimized geometry, DFT PBE
# energy of formation from the pure elements: -0.368 eV per atom
# Fermi-level density of states: 1.11 states/eV/atom
# DFT total energy: -0.328 Ry per atom
# E above lowest polymorph: 0.00 eV per formula unit
data_CaDy2Pd
_chemical_formula_sum 'Ca1 Dy2 Pd1'
_cell_length_a 3.529
_cell_length_b 3.529
_cell_length_c 9.414
_cell_angle_alpha 90.00
_cell_angle_beta 90.00
_cell_angle_gamma 90.00
_symmetry_space_group_name_H-M 'P 4/m m m'
_symmetry_Int_Tables_number 123
_symmetry_space_group_name_Hall '-P 4 2'
loop_
_atom_site_label
_atom_site_type_symbol
_atom_site_fract_x
_atom_site_fract_y
_atom_site_fract_z
Ca1 Ca 0.000 0.000 0.000
Dy1 Dy 0.500 0.500 0.321
Pd1 Pd 0.000 0.000 0.500

Record 4
# Sm3Ga8Rh3, optimized geometry, DFT PBE
# energy of formation from the pure elements: -0.715 eV per atom
# Fermi-level density of states: 0.59 states/eV/atom
# DFT total energy: -0.370 Ry per atom
# E above lowest polymorph: 0.06 eV per formula unit
data_Sm3Ga8Rh3
_chemical_formula_sum 'Sm6 Ga16 Rh6'
_cell_length_a 4.265
_cell_length_b 9.871
_cell_length_c 12.427
_cell_angle_alpha 90.00
_cell_angle_beta 90.00
_cell_angle_gamma 90.00
_symmetry_space_group_name_H-M 'I m m m'
_symmetry_Int_Tables_number 71
_symmetry_space_group_name_Hall '-I 2 2'
loop_
_atom_site_label
_atom_site_type_symbol
_atom_site_fract_x
_atom_site_fract_y
_atom_site_fract_z
Sm1 Sm 0.000 0.000 0.000
Sm2 Sm 0.000 0.000 0.326
Ga1 Ga 0.000 0.283 0.122
Ga2 Ga 0.000 0.368 0.331
Rh1 Rh 0.000 0.219 0.500
Rh2 Rh 0.000 0.500 0.000

Record 5
# Th2CdInTc, optimized geometry, DFT PBE
# energy of formation from the pure elements: -0.192 eV per atom
# Fermi-level density of states: 0.75 states/eV/atom
# DFT total energy: -0.438 Ry per atom
data_Th2CdInTc
_chemical_formula_sum 'Th4 Cd2 In2 Tc2'
_cell_length_a 8.153
_cell_length_b 4.170
_cell_length_c 8.362
_cell_angle_alpha 90.00
_cell_angle_beta 110.12
_cell_angle_gamma 90.00
_symmetry_space_group_name_H-M 'P 1 21/m 1'
_symmetry_Int_Tables_number 11
_symmetry_space_group_name_Hall '-P 2yb'
loop_
_atom_site_label
_atom_site_type_symbol
_atom_site_fract_x
_atom_site_fract_y
_atom_site_fract_z
Th1 Th 0.020 0.250 0.233
Th2 Th 0.340 0.750 0.604
Cd1 Cd 0.318 0.750 0.194
In1 In 0.349 0.250 0.954
Tc1 Tc 0.114 0.250 0.626

Record 6
# TcGe3P, optimized geometry, DFT PBE
# energy of formation from the pure elements: 0.579 eV per atom
# Fermi-level density of states: 0.65 states/eV/atom
# DFT total energy: -0.393 Ry per atom
# E above lowest polymorph: 0.00 eV per formula unit
data_TcGe3P
_chemical_formula_sum 'Tc1 Ge3 P1'
_cell_length_a 4.811
_cell_length_b 4.811
_cell_length_c 4.811
_cell_angle_alpha 90.00
_cell_angle_beta 90.00
_cell_angle_gamma 90.00
_symmetry_space_group_name_H-M 'P m -3 m'
_symmetry_Int_Tables_number 221
_symmetry_space_group_name_Hall '-P 4 2 3'
loop_
_atom_site_label
_atom_site_type_symbol
_atom_site_fract_x
_atom_site_fract_y
_atom_site_fract_z
Tc1 Tc 0.000 0.000 0.000
Ge1 Ge 0.000 0.000 0.500
P1 P 0.500 0.500 0.500

Record 7
# MnAuI2, optimized geometry, DFT PBE
# Fermi-level density of states: 0.22 states/eV/atom
# DFT total energy: -0.208 Ry per atom
# E above lowest polymorph: 1.78 eV per formula unit
# energy relative to the elements, uncorrected: 1.055 eV per atom
data_MnAuI2
_chemical_formula_sum 'Mn4 Au4 I8'
_cell_length_a 7.094
_cell_length_b 7.094
_cell_length_c 7.094
_cell_angle_alpha 90.00
_cell_angle_beta 90.00
_cell_angle_gamma 90.00
_symmetry_space_group_name_H-M 'F m -3 m'
_symmetry_Int_Tables_number 225
_symmetry_space_group_name_Hall '-F 4 2 3'
loop_
_atom_site_label
_atom_site_type_symbol
_atom_site_fract_x
_atom_site_fract_y
_atom_site_fract_z
Mn1 Mn 0.000 0.000 0.000
Au1 Au 0.000 0.000 0.500
I1 I 0.250 0.250 0.250

Record 8
# GdInCo2, optimized geometry, DFT PBE
# energy of formation from the pure elements: -0.074 eV per atom
# Fermi-level density of states: 0.40 states/eV/atom
# DFT total energy: -0.576 Ry per atom
data_GdInCo2
_chemical_formula_sum 'Gd4 In4 Co8'
_cell_length_a 6.464
_cell_length_b 6.464
_cell_length_c 6.464
_cell_angle_alpha 90.00
_cell_angle_beta 90.00
_cell_angle_gamma 90.00
_symmetry_space_group_name_H-M 'F m -3 m'
_symmetry_Int_Tables_number 225
_symmetry_space_group_name_Hall '-F 4 2 3'
loop_
_atom_site_label
_atom_site_type_symbol
_atom_site_fract_x
_atom_site_fract_y
_atom_site_fract_z
Gd1 Gd 0.000 0.000 0.000
In1 In 0.000 0.000 0.500
Co1 Co 0.250 0.250 0.250